# 1
Computed, not measured: a relaxed CsLi3Pu4O12 crystal at the PBE level of DFT.

```
20
Lattice="7.090 0.000 0.000 -2.363 6.684 0.000 -2.363 -3.342 5.789" Properties=species:S:1:pos:R:3 pbc="T T T"
Cs 0.000 0.000 0.000
Li -2.363 1.671 2.894
Li 2.363 3.342 0.000
Li 2.363 -1.671 2.894
Pu 3.545 0.000 0.000
Pu 1.182 1.671 2.894
Pu -1.182 3.342 0.000
Pu -1.182 -1.671 2.894
O -0.006 5.018 0.671
O 2.370 -1.676 5.118
O 1.815 3.730 2.902
O 4.179 3.991 1.108
O 4.733 -0.252 1.779
O -0.548 2.306 1.779
O 2.357 1.414 1.108
O -2.370 3.594 4.010
O 0.548 -0.387 2.887
O -1.815 -0.649 4.681
O 2.911 1.036 4.010
O 0.006 1.928 4.681
```

Computed properties:
- space-group type = Im-3, No. 204
- E_tot (eV/atom) = -8.66

# 2
Computed, not measured: a relaxed CsLi4Pu3O12 crystal at the PBE level of DFT.

```
20
Lattice="-5.749 -4.271 0.492 5.056 -2.910 4.184 -1.830 6.230 3.061" Properties=species:S:1:pos:R:3 pbc="T T T"
Cs 0.000 0.000 0.000
Li -5.942 -1.064 2.269
Li 0.436 4.073 4.981
Li 1.721 -4.434 4.355
Li -1.262 -0.475 3.868
Pu -1.036 -3.677 2.103
Pu -3.540 1.650 1.940
Pu 2.052 1.077 3.694
O -2.421 1.064 3.679
O -2.808 -4.618 2.855
O 3.001 0.061 5.325
O -3.978 3.131 3.425
O 2.166 -2.683 4.999
O -1.407 3.687 4.616
O -4.791 -2.522 2.749
O 0.003 -4.496 3.503
O 1.554 2.519 4.871
O -5.095 0.645 2.472
O -1.922 -2.244 3.436
O 0.558 -0.246 4.490
```

Computed properties:
- space-group type = R32, No. 155
- E_tot (eV/atom) = -7.82

# 3
Computed, not measured: a relaxed Cs2LiPuO4 crystal at the PBE level of DFT.

```
8
Lattice="3.609 0.000 0.000 0.000 5.963 0.121 0.000 -2.080 6.742" Properties=species:S:1:pos:R:3 pbc="T T T"
Cs 1.804 -1.040 3.371
Cs 0.000 1.942 3.431
Li 0.000 0.000 0.000
Pu 1.804 2.982 0.061
O 1.804 1.318 1.156
O 1.804 2.565 5.706
O 0.000 0.003 5.660
O 0.000 3.880 1.203
```

Computed properties:
- space-group type = P2/m, No. 10
- E_tot (eV/atom) = -6.75

Number 1: DOS(E_F) 0.78 states/eV per atom, magnetic moment 12.0 μB/f.u., uncorrected formation energy -2.4888 eV/atom. Number 2: DOS(E_F) 0.48 states/eV per atom, magnetic moment 5.0 μB/f.u., uncorrected formation energy -2.2665 eV/atom. Number 3: DOS(E_F) 0.67 states/eV per atom, magnetic moment 3.0 μB/f.u., uncorrected formation energy -2.0220 eV/atom.